(1)
# ZrSn3B PBE relaxed
data_ZrSn3B
_chemical_formula_sum 'Zr1 Sn3 B1'
_cell_length_a 4.813
_cell_length_b 4.813
_cell_length_c 4.813
_cell_angle_alpha 90.00
_cell_angle_beta 90.00
_cell_angle_gamma 90.00
_space_group_name_H-M_alt 'P m -3 m'
_space_group_IT_number 221
_space_group_name_Hall '-P 4 2 3'
loop_
_atom_site_label
_atom_site_fract_x
_atom_site_fract_y
_atom_site_fract_z
Zr1 0.000 0.000 0.000
Sn1 0.000 0.500 0.500
B1 0.500 0.500 0.500
# DOS at the Fermi energy	4.520	states/eV per cell
# excess energy over the best structure of this formula in the dataset	0.000	eV per atom
# ΔH_f (0 K)	3.1	eV/f.u.
# total moment	0.00	μB/cell
# final energy	-4.820	eV per atom

(2)
# ZrSnB3 PBE relaxed
data_ZrSnB3
_chemical_formula_sum 'Zr1 Sn1 B3'
_cell_length_a 4.343
_cell_length_b 4.343
_cell_length_c 4.343
_cell_angle_alpha 90.00
_cell_angle_beta 90.00
_cell_angle_gamma 90.00
_space_group_name_H-M_alt 'P m -3 m'
_space_group_IT_number 221
_space_group_name_Hall '-P 4 2 3'
loop_
_atom_site_label
_atom_site_fract_x
_atom_site_fract_y
_atom_site_fract_z
Zr1 0.000 0.000 0.000
Sn1 0.500 0.500 0.500
B1 0.000 0.500 0.500
# DOS at the Fermi energy	3.212	states/eV per cell
# excess energy over the best structure of this formula in the dataset	0.269	eV per atom
# ΔH_f (0 K)	9.1	eV/f.u.
# total moment	0.00	μB/cell
# final energy	-4.701	eV per atom

(3)
# ZrSn2B PBE relaxed
data_ZrSn2B
_chemical_formula_sum 'Zr4 Sn8 B4'
_cell_length_a 7.158
_cell_length_b 7.158
_cell_length_c 6.195
_cell_angle_alpha 90.00
_cell_angle_beta 90.00
_cell_angle_gamma 90.00
_space_group_name_H-M_alt 'I -4 2 d'
_space_group_IT_number 122
_space_group_name_Hall 'I -4 2bw'
loop_
_atom_site_label
_atom_site_fract_x
_atom_site_fract_y
_atom_site_fract_z
Zr1 0.000 0.000 0.000
Sn1 0.177 0.250 0.625
B1 0.000 0.000 0.500
# DOS at the Fermi energy	3.527	states/eV per cell
# ΔH_f (0 K)	1.2	eV/f.u.
# total moment	0.00	μB/cell
# final energy	-5.517	eV per atom

(4)
# Zr5Sn3B PBE relaxed
data_Zr5Sn3B
_chemical_formula_sum 'Zr10 Sn6 B2'
_cell_length_a 8.5892
_cell_length_b 8.5892
_cell_length_c 5.8407
_cell_angle_alpha 90.00
_cell_angle_beta 90.00
_cell_angle_gamma 120.00
_space_group_name_H-M_alt 'P 63/m c m'
_space_group_IT_number 193
_space_group_name_Hall '-P 6c 2'
loop_
_atom_site_label
_atom_site_fract_x
_atom_site_fract_y
_atom_site_fract_z
Zr1 0.0000 0.2281 0.2500
Zr2 0.3333 0.6667 0.0000
Sn1 0.0000 0.3986 0.7500
B1 0.0000 0.0000 0.0000
# DOS at the Fermi energy	14.979	states/eV per cell
# ΔH_f (0 K)	-6.0	eV/f.u.
# total moment	0.00	μB/cell
# final energy	-7.494	eV per atom

(5)
# Zr2Sn2B PBE relaxed
data_Zr2Sn2B
_chemical_formula_sum 'Zr4 Sn4 B2'
_cell_length_a 6.615
_cell_length_b 6.615
_cell_length_c 4.757
_cell_angle_alpha 90.00
_cell_angle_beta 90.00
_cell_angle_gamma 90.00
_space_group_name_H-M_alt 'P 4/m b m'
_space_group_IT_number 127
_space_group_name_Hall '-P 4 2ab'
loop_
_atom_site_label
_atom_site_fract_x
_atom_site_fract_y
_atom_site_fract_z
Zr1 0.171 0.329 0.000
Sn1 0.155 0.655 0.500
B1 0.000 0.000 0.000
# DOS at the Fermi energy	4.595	states/eV per cell
# excess energy over the best structure of this formula in the dataset	0.000	eV per atom
# ΔH_f (0 K)	-0.9	eV/f.u.
# total moment	0.00	μB/cell
# final energy	-6.529	eV per atom

(6)
# ZrSn3B PBE relaxed
data_ZrSn3B
_chemical_formula_sum 'Zr1 Sn3 B1'
_cell_length_a 5.547
_cell_length_b 5.547
_cell_length_c 5.547
_cell_angle_alpha 90.00
_cell_angle_beta 90.00
_cell_angle_gamma 90.00
_space_group_name_H-M_alt 'P m -3 m'
_space_group_IT_number 221
_space_group_name_Hall '-P 4 2 3'
loop_
_atom_site_label
_atom_site_fract_x
_atom_site_fract_y
_atom_site_fract_z
Zr1 0.000 0.000 0.000
Sn1 0.000 0.000 0.500
B1 0.500 0.500 0.500
# DOS at the Fermi energy	2.762	states/eV per cell
# excess energy over the best structure of this formula in the dataset	0.636	eV per atom
# ΔH_f (0 K)	6.3	eV/f.u.
# total moment	0.00	μB/cell
# final energy	-4.184	eV per atom

(7)
# ZrSnB3 PBE relaxed
data_ZrSnB3
_chemical_formula_sum 'Zr1 Sn1 B3'
_cell_length_a 4.523
_cell_length_b 4.523
_cell_length_c 4.523
_cell_angle_alpha 90.00
_cell_angle_beta 90.00
_cell_angle_gamma 90.00
_space_group_name_H-M_alt 'P m -3 m'
_space_group_IT_number 221
_space_group_name_Hall '-P 4 2 3'
loop_
_atom_site_label
_atom_site_fract_x
_atom_site_fract_y
_atom_site_fract_z
Zr1 0.000 0.000 0.000
Sn1 0.500 0.500 0.500
B1 0.000 0.000 0.500
# DOS at the Fermi energy	2.288	states/eV per cell
# excess energy over the best structure of this formula in the dataset	0.000	eV per atom
# ΔH_f (0 K)	7.7	eV/f.u.
# total moment	0.00	μB/cell
# final energy	-4.970	eV per atom

(8)
# Zr2Sn2B PBE relaxed
data_Zr2Sn2B
_chemical_formula_sum 'Zr4 Sn4 B2'
_cell_length_a 3.859
_cell_length_b 3.859
_cell_length_c 14.777
_cell_angle_alpha 90.00
_cell_angle_beta 90.00
_cell_angle_gamma 90.00
_space_group_name_H-M_alt 'I 4/m m m'
_space_group_IT_number 139
_space_group_name_Hall '-I 4 2'
loop_
_atom_site_label
_atom_site_fract_x
_atom_site_fract_y
_atom_site_fract_z
Zr1 0.000 0.000 0.090
Sn1 0.000 0.500 0.250
B1 0.000 0.000 0.500
# DOS at the Fermi energy	9.083	states/eV per cell
# excess energy over the best structure of this formula in the dataset	0.757	eV per atom
# ΔH_f (0 K)	2.9	eV/f.u.
# total moment	0.00	μB/cell
# final energy	-5.772	eV per atom

(9)
# Zr5SnB2 PBE relaxed
data_Zr5SnB2
_chemical_formula_sum 'Zr20 Sn4 B8'
_cell_length_a 6.733
_cell_length_b 6.733
_cell_length_c 13.084
_cell_angle_alpha 90.00
_cell_angle_beta 90.00
_cell_angle_gamma 90.00
_space_group_name_H-M_alt 'I 4/m c m'
_space_group_IT_number 140
_space_group_name_Hall '-I 4 2c'
loop_
_atom_site_label
_atom_site_fract_x
_atom_site_fract_y
_atom_site_fract_z
Zr1 0.000 0.000 0.000
Zr2 0.174 0.326 0.126
Sn1 0.000 0.000 0.250
B1 0.102 0.398 0.500
# DOS at the Fermi energy	41.588	states/eV per cell
# ΔH_f (0 K)	-3.4	eV/f.u.
# total moment	0.00	μB/cell
# final energy	-7.933	eV per atom

(10)
# SrB2 PBE relaxed
data_SrB2
_chemical_formula_sum 'Sr4 B8'
_cell_length_a 6.582
_cell_length_b 8.789
_cell_length_c 3.288
_cell_angle_alpha 90.00
_cell_angle_beta 111.14
_cell_angle_gamma 90.00
_space_group_name_H-M_alt 'C 1 2/c 1'
_space_group_IT_number 15
loop_
_space_group_symop_operation_xyz
'x,y,z'
'-x,-y,-z'
'-x,y,-z+1/2'
'x,-y,z+1/2'
'x+1/2,y+1/2,z'
'-x+1/2,-y+1/2,-z'
'-x+1/2,y+1/2,-z+1/2'
'x+1/2,-y+1/2,z+1/2'
loop_
_atom_site_label
_atom_site_fract_x
_atom_site_fract_y
_atom_site_fract_z
Sr1 0.000 0.195 0.250
B1 0.130 0.472 0.962
# DOS at the Fermi energy	3.255	states/eV per cell
# excess energy over the best structure of this formula in the dataset	0.045	eV per atom
# ΔH_f (0 K)	-0.2	eV/f.u.
# total moment	0.00	μB/cell
# final energy	-5.071	eV per atom

(11)
# SrB11 PBE relaxed
data_SrB11
_chemical_formula_sum 'Sr4 B44'
_cell_length_a 6.442
_cell_length_b 11.176
_cell_length_c 6.011
_cell_angle_alpha 90.00
_cell_angle_beta 90.00
_cell_angle_gamma 90.00
_space_group_name_H-M_alt 'I m m a'
_space_group_IT_number 74
_space_group_name_Hall '-I 2b 2'
loop_
_atom_site_label
_atom_site_fract_x
_atom_site_fract_y
_atom_site_fract_z
Sr1 0.000 0.250 0.181
B1 0.000 0.000 0.000
B2 0.000 0.250 0.670
B3 0.137 0.120 0.603
B4 0.240 0.047 0.109
B5 0.250 0.250 0.750
# DOS at the Fermi energy	6.867	states/eV per cell
# ΔH_f (0 K)	3.2	eV/f.u.
# total moment	0.00	μB/cell
# final energy	-5.994	eV per atom

(12)
# SrB2 PBE relaxed
data_SrB2
_chemical_formula_sum 'Sr4 B8'
_cell_length_a 4.271
_cell_length_b 12.271
_cell_length_c 4.121
_cell_angle_alpha 90.00
_cell_angle_beta 90.00
_cell_angle_gamma 90.00
_space_group_name_H-M_alt 'C m c m'
_space_group_IT_number 63
_space_group_name_Hall '-C 2c 2'
loop_
_atom_site_label
_atom_site_fract_x
_atom_site_fract_y
_atom_site_fract_z
Sr1 0.000 0.142 0.250
B1 0.000 0.399 0.250
B2 0.000 0.500 0.000
# DOS at the Fermi energy	1.931	states/eV per cell
# excess energy over the best structure of this formula in the dataset	0.064	eV per atom
# ΔH_f (0 K)	-0.1	eV/f.u.
# total moment	0.00	μB/cell
# final energy	-5.052	eV per atom

(13)
# SrB2 PBE relaxed
data_SrB2
_chemical_formula_sum 'Sr2 B4'
_cell_length_a 4.486
_cell_length_b 4.872
_cell_length_c 5.491
_cell_angle_alpha 66.12
_cell_angle_beta 66.10
_cell_angle_gamma 89.90
_space_group_name_H-M_alt 'P -1'
_space_group_IT_number 2
loop_
_space_group_symop_operation_xyz
'x,y,z'
'-x,-y,-z'
loop_
_atom_site_label
_atom_site_fract_x
_atom_site_fract_y
_atom_site_fract_z
Sr1 0.174 0.180 0.152
B1 0.182 0.500 0.500
B2 0.470 0.641 0.560
# DOS at the Fermi energy	0.972	states/eV per cell
# excess energy over the best structure of this formula in the dataset	0.026	eV per atom
# ΔH_f (0 K)	-0.2	eV/f.u.
# total moment	0.00	μB/cell
# final energy	-5.090	eV per atom

(14)
# SrB2 PBE relaxed
data_SrB2
_chemical_formula_sum 'Sr1 B2'
_cell_length_a 3.3130
_cell_length_b 3.3130
_cell_length_c 4.4311
_cell_angle_alpha 90.00
_cell_angle_beta 90.00
_cell_angle_gamma 120.00
_space_group_name_H-M_alt 'P 6/m m m'
_space_group_IT_number 191
_space_group_name_Hall '-P 6 2'
loop_
_atom_site_label
_atom_site_fract_x
_atom_site_fract_y
_atom_site_fract_z
Sr1 0.0000 0.0000 0.0000
B1 0.3333 0.6667 0.5000
# DOS at the Fermi energy	1.785	states/eV per cell
# excess energy over the best structure of this formula in the dataset	0.288	eV per atom
# ΔH_f (0 K)	0.6	eV/f.u.
# total moment	0.00	μB/cell
# final energy	-4.828	eV per atom

(15)
# SrB2 PBE relaxed
data_SrB2
_chemical_formula_sum 'Sr4 B8'
_cell_length_a 10.892
_cell_length_b 4.417
_cell_length_c 5.563
_cell_angle_alpha 90.00
_cell_angle_beta 93.32
_cell_angle_gamma 90.00
_space_group_name_H-M_alt 'C 1 m 1'
_space_group_IT_number 8
loop_
_space_group_symop_operation_xyz
'x,y,z'
'x,-y,z'
'x+1/2,y+1/2,z'
'x+1/2,-y+1/2,z'
loop_
_atom_site_label
_atom_site_fract_x
_atom_site_fract_y
_atom_site_fract_z
Sr1 0.000 0.000 0.000
Sr2 0.227 0.500 0.539
B1 0.430 0.000 0.620
B2 0.473 0.318 0.489
B3 0.489 0.000 0.343
# DOS at the Fermi energy	4.471	states/eV per cell
# excess energy over the best structure of this formula in the dataset	0.077	eV per atom
# ΔH_f (0 K)	-0.1	eV/f.u.
# total moment	0.00	μB/cell
# final energy	-5.039	eV per atom

(16)
# SrB2 PBE relaxed
data_SrB2
_chemical_formula_sum 'Sr2 B4'
_cell_length_a 5.211
_cell_length_b 4.519
_cell_length_c 5.304
_cell_angle_alpha 90.00
_cell_angle_beta 117.07
_cell_angle_gamma 90.00
_space_group_name_H-M_alt 'P 1 m 1'
_space_group_IT_number 6
loop_
_space_group_symop_operation_xyz
'x,y,z'
'x,-y,z'
loop_
_atom_site_label
_atom_site_fract_x
_atom_site_fract_y
_atom_site_fract_z
Sr1 0.000 0.000 0.000
Sr2 0.367 0.500 0.640
B1 0.536 0.000 0.067
B2 0.610 0.319 0.242
B3 0.657 0.000 0.417
# DOS at the Fermi energy	2.101	states/eV per cell
# excess energy over the best structure of this formula in the dataset	0.086	eV per atom
# ΔH_f (0 K)	-0.1	eV/f.u.
# total moment	0.00	μB/cell
# final energy	-5.030	eV per atom

(17)
# Sr4B PBE relaxed
data_Sr4B
_chemical_formula_sum 'Sr4 B1'
_cell_length_a 5.937
_cell_length_b 5.937
_cell_length_c 5.937
_cell_angle_alpha 90.00
_cell_angle_beta 90.00
_cell_angle_gamma 90.00
_space_group_name_H-M_alt 'P m -3 m'
_space_group_IT_number 221
_space_group_name_Hall '-P 4 2 3'
loop_
_atom_site_label
_atom_site_fract_x
_atom_site_fract_y
_atom_site_fract_z
Sr1 0.000 0.000 0.000
Sr2 0.000 0.500 0.500
B1 0.500 0.500 0.500
# DOS at the Fermi energy	7.453	states/eV per cell
# ΔH_f (0 K)	1.7	eV/f.u.
# total moment	1.26	μB/cell
# final energy	-2.346	eV per atom

(18)
# SrB2 PBE relaxed
data_SrB2
_chemical_formula_sum 'Sr2 B4'
_cell_length_a 4.492
_cell_length_b 5.195
_cell_length_c 5.625
_cell_angle_alpha 108.90
_cell_angle_beta 90.18
_cell_angle_gamma 115.05
_space_group_name_H-M_alt 'P -1'
_space_group_IT_number 2
loop_
_space_group_symop_operation_xyz
'x,y,z'
'-x,-y,-z'
loop_
_atom_site_label
_atom_site_fract_x
_atom_site_fract_y
_atom_site_fract_z
Sr1 0.200 0.392 0.215
B1 0.080 0.162 0.634
B2 0.318 0.000 0.501
# DOS at the Fermi energy	1.973	states/eV per cell
# excess energy over the best structure of this formula in the dataset	0.000	eV per atom
# ΔH_f (0 K)	-0.3	eV/f.u.
# total moment	0.00	μB/cell
# final energy	-5.116	eV per atom

(19)
# SrB4 PBE relaxed
data_SrB4
_chemical_formula_sum 'Sr4 B16'
_cell_length_a 7.324
_cell_length_b 7.324
_cell_length_c 4.240
_cell_angle_alpha 90.00
_cell_angle_beta 90.00
_cell_angle_gamma 90.00
_space_group_name_H-M_alt 'P 4/m b m'
_space_group_IT_number 127
_space_group_name_Hall '-P 4 2ab'
loop_
_atom_site_label
_atom_site_fract_x
_atom_site_fract_y
_atom_site_fract_z
Sr1 0.187 0.313 0.000
B1 0.000 0.000 0.210
B2 0.036 0.827 0.500
B3 0.085 0.585 0.500
# DOS at the Fermi energy	2.931	states/eV per cell
# excess energy over the best structure of this formula in the dataset	0.000	eV per atom
# ΔH_f (0 K)	-1.5	eV/f.u.
# total moment	0.00	μB/cell
# final energy	-5.988	eV per atom

(20)
# SrB4 PBE relaxed
data_SrB4
_chemical_formula_sum 'Sr1 B4'
_cell_length_a 5.065
_cell_length_b 5.065
_cell_length_c 5.065
_cell_angle_alpha 90.00
_cell_angle_beta 90.00
_cell_angle_gamma 90.00
_space_group_name_H-M_alt 'P m -3 m'
_space_group_IT_number 221
_space_group_name_Hall '-P 4 2 3'
loop_
_atom_site_label
_atom_site_fract_x
_atom_site_fract_y
_atom_site_fract_z
Sr1 0.000 0.000 0.000
B1 0.000 0.000 0.500
B2 0.500 0.500 0.500
# DOS at the Fermi energy	8.098	states/eV per cell
# excess energy over the best structure of this formula in the dataset	4.022	eV per atom
# ΔH_f (0 K)	18.6	eV/f.u.
# total moment	0.00	μB/cell
# final energy	-1.966	eV per atom